# RuSe2Br

A relaxed structure of RuSe2Br (PBE-GGA, Alexandria via LeMat-Bulk).

## Properties
energy above the lowest structure with this stoichiometry = 435 meV/atom

Cell lengths 2.9452, 2.9452, 11.6402 Å; angles 90.00, 90.00, 116.80 degrees
Last column: nearest neighbours and their distance in Å.
Fractional positions:
1 Ru 0.0000 0.0000 0.0000  4 Se 2.54
2 Se 0.5000 0.5000 0.1734  2 Ru 2.54
3 Se 0.5000 0.5000 0.8266  2 Ru 2.54
4 Br 0.0000 0.0000 0.5000  6 Br 2.95-3.09

***

# RuSe2Br

A relaxed structure of RuSe2Br (PBE-GGA, Alexandria via LeMat-Bulk).

## Properties
energy above the lowest structure with this stoichiometry = 422 meV/atom

Cell lengths 2.9895, 2.9895, 10.5699 Å; angles 90.00, 90.00, 90.00 degrees
Last column: nearest neighbours and their distance in Å.
Fractional positions:
1 Ru 0.0000 0.0000 0.0000  4 Se 2.52
2 Se 0.0000 0.0000 0.4373  4 Se 2.99
3 Se 0.5000 0.5000 0.1302  4 Ru 2.52
4 Br 0.5000 0.5000 0.8108  4 Ru 2.91, 4 Br 2.99

***

# RuSe2Br

A relaxed structure of RuSe2Br (PBE-GGA, Alexandria via LeMat-Bulk).

## Properties
energy above the lowest structure with this stoichiometry = 86 meV/atom

Cell lengths 7.9379, 7.9379, 7.9379 Å; angles 26.13, 26.13, 26.13 degrees
Last column: nearest neighbours and their distance in Å.
Fractional positions:
1 Ru 0.0000 0.0000 0.0000  6 Se 2.51
2 Se 0.2719 0.2719 0.2719  3 Ru 2.51
3 Se 0.7281 0.7281 0.7281  3 Ru 2.51
4 Br 0.5000 0.5000 0.5000  6 Se 3.18

***

# RuSeBr

A relaxed structure of RuSeBr (PBE-GGA, Alexandria via LeMat-Bulk).

Cell lengths 4.3898, 4.3898, 4.3898 Å; angles 60.00, 60.00, 60.00 degrees
Last column: nearest neighbours and their distance in Å.
Fractional positions:
1 Ru 0.0000 0.0000 0.0000  4 Br 2.69, 4 Se 2.69
2 Se 0.2500 0.2500 0.2500  4 Ru 2.69
3 Br 0.7500 0.7500 0.7500  4 Ru 2.69

***

# SiRuSe2Br

A relaxed structure of SiRuSe2Br (PBE-GGA, Alexandria via LeMat-Bulk).

## Properties
energy above the lowest structure with this stoichiometry = 264 meV/atom

Cell lengths 4.8509, 4.8509, 4.9789 Å; angles 90.00, 90.00, 90.00 degrees
Last column: nearest neighbours and their distance in Å.
Fractional positions:
1 Si 0.0000 0.0000 0.0000  4 Se 2.43, 2 Br 2.49
2 Ru 0.5000 0.5000 0.5000  4 Br 3.43, 8 Se 3.48
3 Se 0.0000 0.5000 0.0000  2 Si 2.43
4 Se 0.5000 0.0000 0.0000  2 Si 2.43
5 Br 0.0000 0.0000 0.5000  2 Si 2.49

***

# SiRuSe2Br

A relaxed structure of SiRuSe2Br (PBE-GGA, Alexandria via LeMat-Bulk).

## Properties
energy above the lowest structure with this stoichiometry = 0 meV/atom

Cell lengths 4.8322, 4.8322, 5.0916 Å; angles 90.00, 90.00, 90.00 degrees
Last column: nearest neighbours and their distance in Å.
Fractional positions:
1 Si 0.0000 0.0000 0.0000  4 Br 3.42, 8 Se 3.51
2 Ru 0.5000 0.5000 0.5000  4 Se 2.42, 2 Br 2.55
3 Se 0.0000 0.5000 0.5000  2 Ru 2.42
4 Se 0.5000 0.0000 0.5000  2 Ru 2.42
5 Br 0.5000 0.5000 0.0000  2 Ru 2.55

***

# Sm4RuSeBr2

A relaxed structure of Sm4RuSeBr2 (PBE-GGA, Alexandria via LeMat-Bulk).

Cell lengths 7.5669, 4.0495, 7.7687 Å; angles 90.00, 106.45, 90.00 degrees
Last column: nearest neighbours and their distance in Å.
Fractional positions:
1 Sm 0.2107 0.0000 0.1983  2 Ru 2.76, 1 Se 3.01
2 Sm 0.2425 0.5000 0.7992  1 Ru 2.72, 2 Se 2.93
3 Sm 0.7575 0.5000 0.2008  1 Ru 2.72, 2 Se 2.93
4 Sm 0.7893 0.0000 0.8017  2 Ru 2.76, 1 Se 3.01
5 Ru 0.0000 0.5000 0.0000  6 Sm 2.72-2.76
6 Se 0.5000 0.0000 0.0000  6 Sm 2.93-3.01
7 Br 0.0000 0.0000 0.5000  6 Sm 3.19-3.23
8 Br 0.5000 0.5000 0.5000  6 Sm 3.39-3.43

***

# Sn2RuSeBr

A relaxed structure of Sn2RuSeBr (PBE-GGA, Alexandria via LeMat-Bulk).

Cell lengths 5.6627, 5.6627, 4.5924 Å; angles 90.00, 90.00, 90.00 degrees
Last column: nearest neighbours and their distance in Å.
Fractional positions:
1 Sn 0.0000 0.5000 0.0000  2 Br 2.83
2 Sn 0.5000 0.0000 0.0000  2 Br 2.83
3 Ru 0.0000 0.0000 0.5000  2 Br 2.30
4 Se 0.5000 0.5000 0.5000  8 Sn 3.65, 4 Ru 4.00
5 Br 0.0000 0.0000 0.0000  2 Ru 2.30

***

# SnRuSe2Br

A relaxed structure of SnRuSe2Br (PBE-GGA, Alexandria via LeMat-Bulk).

## Properties
energy above the lowest structure with this stoichiometry = 0 meV/atom

Cell lengths 4.9003, 4.9003, 5.1239 Å; angles 90.00, 90.00, 90.00 degrees
Last column: nearest neighbours and their distance in Å.
Fractional positions:
1 Sn 0.0000 0.0000 0.0000  4 Br 3.47, 8 Se 3.54
2 Ru 0.5000 0.5000 0.5000  4 Se 2.45, 2 Br 2.56
3 Se 0.0000 0.5000 0.5000  2 Ru 2.45
4 Se 0.5000 0.0000 0.5000  2 Ru 2.45
5 Br 0.5000 0.5000 0.0000  2 Ru 2.56

***

# SnRuSeBr2

A relaxed structure of SnRuSeBr2 (PBE-GGA, Alexandria via LeMat-Bulk).

## Properties
energy above the lowest structure with this stoichiometry = 0 meV/atom

Cell lengths 5.1176, 5.1176, 4.8678 Å; angles 90.00, 90.00, 90.00 degrees
Last column: nearest neighbours and their distance in Å.
Fractional positions:
1 Sn 0.0000 0.0000 0.0000  8 Br 3.53, 4 Se 3.62
2 Ru 0.5000 0.5000 0.5000  2 Se 2.43, 4 Br 2.56
3 Se 0.5000 0.5000 0.0000  2 Ru 2.43
4 Br 0.0000 0.5000 0.5000  2 Ru 2.56
5 Br 0.5000 0.0000 0.5000  2 Ru 2.56

***

# TaRuSeBr2

A relaxed structure of TaRuSeBr2 (PBE-GGA, Alexandria via LeMat-Bulk).

## Properties
energy above the lowest structure with this stoichiometry = 0 meV/atom

Cell lengths 5.1293, 5.1293, 5.0360 Å; angles 90.00, 90.00, 90.00 degrees
Last column: nearest neighbours and their distance in Å.
Fractional positions:
1 Ta 0.0000 0.0000 0.0000  2 Se 2.52, 4 Br 2.56
2 Ru 0.5000 0.5000 0.5000  8 Br 3.59, 4 Se 3.63
3 Se 0.0000 0.0000 0.5000  2 Ta 2.52
4 Br 0.0000 0.5000 0.0000  2 Ta 2.56
5 Br 0.5000 0.0000 0.0000  2 Ta 2.56

***

# TaRuSeBr2

A relaxed structure of TaRuSeBr2 (PBE-GGA, Alexandria via LeMat-Bulk).

## Properties
energy above the lowest structure with this stoichiometry = 255 meV/atom

Cell lengths 4.9414, 4.9414, 4.8600 Å; angles 90.00, 90.00, 90.00 degrees
Last column: nearest neighbours and their distance in Å.
Fractional positions:
1 Ta 0.0000 0.0000 0.0000  8 Br 3.47, 4 Se 3.49
2 Ru 0.5000 0.5000 0.5000  2 Se 2.43, 4 Br 2.47
3 Se 0.5000 0.5000 0.0000  2 Ru 2.43
4 Br 0.0000 0.5000 0.5000  2 Ru 2.47
5 Br 0.5000 0.0000 0.5000  2 Ru 2.47

***

Number 1: magnetic moment 0.0 μB per cell, formation energy from raw total energies 28.14 kJ/mol of atoms. Number 2: magnetic moment 0.0 μB per cell, formation energy from raw total energies 26.91 kJ/mol of atoms. Number 3: magnetic moment 0.0 μB per cell, formation energy from raw total energies -5.51 kJ/mol of atoms. Number 4: magnetic moment 0.0 μB per cell, formation energy from raw total energies 19.59 kJ/mol of atoms. Number 5: magnetic moment 3.5 μB per cell, formation energy from raw total energies 84.32 kJ/mol of atoms. Number 6: magnetic moment 0.0 μB per cell, formation energy from raw total energies 58.82 kJ/mol of atoms. Number 7: magnetic moment 0.0 μB per cell, formation energy from raw total energies -108.99 kJ/mol of atoms. Number 8: magnetic moment 1.1 μB per cell, formation energy from raw total energies 89.11 kJ/mol of atoms. Number 9: magnetic moment 0.0 μB per cell, formation energy from raw total energies 14.24 kJ/mol of atoms. Number 10: magnetic moment 0.0 μB per cell, formation energy from raw total energies 10.54 kJ/mol of atoms. Number 11: magnetic moment 3.3 μB per cell, formation energy from raw total energies 75.68 kJ/mol of atoms. Number 12: magnetic moment 2.4 μB per cell, formation energy from raw total energies 100.28 kJ/mol of atoms.